A geometry-optimized Li2Fe2NiO6 structure. Source: Alexandria via LeMat-Bulk, functional PBE with a Hubbard U.

Summary:
As for the symmetry: Cmce. The calculation puts the calculated total energy at -0.204 hartree per atom.

abc: 5.040 5.040 10.168
angles: 90.00 90.00 119.87
Site moments in Bohr magnetons follow the coordinates.
Element x y z (fractional)
Fe1 0.336 0.664 0.000  2.45
O1 0.851 0.851 0.401  -0.11
O2 0.006 0.643 0.105  -0.09
O3 0.494 0.857 0.605  -0.09
Li1 0.830 0.330 0.250  0.00
O4 0.357 0.994 0.895  -0.09
Fe2 0.836 0.164 0.500  2.45
Ni1 0.500 0.500 0.500  1.75
Fe3 0.664 0.336 0.000  2.45
O5 0.994 0.357 0.895  -0.09
O6 0.506 0.143 0.395  -0.09
O7 0.149 0.149 0.599  -0.11
Li2 0.330 0.830 0.250  0.00
O8 0.351 0.351 0.099  -0.11
O9 0.857 0.494 0.605  -0.09
Li3 0.170 0.670 0.750  0.00
O10 0.143 0.506 0.395  -0.09
O11 0.649 0.649 0.901  -0.11
Fe4 0.164 0.836 0.500  2.45
Li4 0.670 0.170 0.750  0.00
Ni2 0.000 0.000 0.000  1.75
O12 0.643 0.006 0.105  -0.09